The following is a DFT calculation (PBE with a Hubbard U) of a relaxed structure of TaFeAgO4.

Cell lengths 5.9843, 6.2465, 7.0945 Å; angles 90.00, 117.81, 90.00 degrees
Closest atoms and distances in Å follow each position.
Element x y z (fractional)
O 0.5068 0.7500 0.6499  1 Ta 1.83
O 0.5035 0.2500 0.7607  1 Ta 1.91, 1 Ag 2.10, 1 Fe 2.13
Ta 0.2767 0.7500 0.3666  4 O 1.83-1.91
Fe 0.1329 0.2500 0.4988  3 O 2.01-2.13
O 0.4932 0.2500 0.3501  1 Ta 1.83
O 0.0547 0.5226 0.3298  1 Ta 1.88, 1 Fe 2.01
O 0.0547 0.9774 0.3298  1 Ta 1.88, 1 Fe 2.01
Ag 0.5055 0.2500 0.0581  2 O 2.10-2.11
Ag 0.4945 0.7500 0.9419  2 O 2.10-2.11
O 0.9453 0.4774 0.6702  1 Ta 1.88, 1 Fe 2.01
O 0.9453 0.0226 0.6702  1 Ta 1.88, 1 Fe 2.01
O 0.4965 0.7500 0.2393  1 Ta 1.91, 1 Ag 2.10, 1 Fe 2.13
Fe 0.8671 0.7500 0.5012  3 O 2.01-2.13
Ta 0.7233 0.2500 0.6334  4 O 1.83-1.91

Fermi-level density of states = 0.00 states/eV per cell
crystal system = monoclinic
total energy = -7.4144 eV/atom